First-principles (PBE) data for a relaxed structure of Cs4Ag3F12, as listed in Alexandria via LeMat-Bulk.

Structure (POSCAR):
```
Cs4Ag3F12
1.0
-5.0830 5.0830 5.0830
5.0830 -5.0830 5.0830
5.0830 5.0830 -5.0830
Cs Ag F
4 3 12
direct
0.0000 0.0000 0.5000
0.0000 0.5000 0.0000
0.5000 0.0000 0.0000
0.5000 0.5000 0.5000
0.0000 0.5000 0.5000
0.5000 0.0000 0.5000
0.5000 0.5000 0.0000
0.1394 0.3610 0.5004
0.1394 0.6390 0.7785
0.2215 0.8606 0.3610
0.3610 0.2215 0.8606
0.3610 0.5004 0.1394
0.5004 0.1394 0.3610
0.4996 0.8606 0.6390
0.6390 0.4996 0.8606
0.6390 0.7785 0.1394
0.7785 0.1394 0.6390
0.8606 0.3610 0.2215
0.8606 0.6390 0.4996
```

## Properties
As for the crystal system: cubic. As for the total energy: -69.930 eV per cell. For the density of states at the Fermi level, the calculation gives 8.24 states/eV/f.u. For the uncorrected formation energy, the calculation gives -1.87 eV/atom.

---

First-principles (PBE) data for a relaxed structure of TbTm3Pt2, as listed in Alexandria via LeMat-Bulk.

Structure (POSCAR):
```
TbTm3Pt2
1.0
4.7347 0.0000 0.0000
0.0000 8.7037 0.0000
0.0000 0.0000 7.0910
Tb Tm Pt
2 6 4
direct
0.0000 0.0816 0.0000
0.0000 0.9184 0.5000
0.0000 0.3309 0.6335
0.0000 0.6691 0.1335
0.5000 0.1726 0.3462
0.5000 0.4186 0.9793
0.5000 0.5814 0.4793
0.5000 0.8274 0.8462
0.0000 0.3461 0.2331
0.0000 0.6539 0.7331
0.5000 0.1577 0.7462
0.5000 0.8423 0.2462
```

## Properties
As for the crystal system: orthorhombic. As for the total energy: -72.149 eV per cell. As for the formation energy: -0.9913 eV/atom. For the density of states at the Fermi level, the calculation gives 5.77 states/eV/f.u.

---

First-principles (PBE) data for a relaxed structure of Pa3Ga5Tc, as listed in Alexandria via LeMat-Bulk.

Structure (POSCAR):
```
Pa3Ga5Tc
1.0
8.5364 0.0000 0.0000
-4.2682 7.3927 0.0000
0.0000 0.0000 5.7654
Pa Ga Tc
6 10 2
direct
0.0000 0.3843 0.2500
0.0000 0.6157 0.7500
0.3843 0.0000 0.2500
0.3843 0.3843 0.7500
0.6157 0.0000 0.7500
0.6157 0.6157 0.2500
0.0000 0.2617 0.7500
0.0000 0.7383 0.2500
0.2617 0.0000 0.7500
0.2617 0.2617 0.2500
0.3333 0.6667 0.0000
0.3333 0.6667 0.5000
0.6667 0.3333 0.0000
0.6667 0.3333 0.5000
0.7383 0.0000 0.2500
0.7383 0.7383 0.7500
0.0000 0.0000 0.0000
0.0000 0.0000 0.5000
```

## Properties
As for the crystal system: hexagonal. As for the total energy: -112.442 eV per cell. As for the formation energy: -0.2481 eV/atom. For the density of states at the Fermi level, the calculation gives 12.34 states/eV/f.u.

---

First-principles (PBE) data for a relaxed structure of Tb8CeTl6, as listed in Alexandria via LeMat-Bulk.

Structure (POSCAR):
```
Tb8CeTl6
1.0
4.5926 2.6516 6.5037
-4.5926 2.6516 6.5037
0.0000 -5.3031 6.5037
Tb Ce Tl
8 1 6
direct
0.0647 0.7191 0.3880
0.1681 0.1681 0.1681
0.2810 0.6120 0.9353
0.3880 0.0647 0.7191
0.6120 0.9353 0.2809
0.7191 0.3880 0.0647
0.8319 0.8319 0.8319
0.9353 0.2810 0.6120
0.5000 0.5000 0.5000
0.0957 0.4370 0.7770
0.2230 0.9043 0.5630
0.4370 0.7770 0.0957
0.5630 0.2230 0.9043
0.7770 0.0957 0.4370
0.9043 0.5630 0.2230
```

## Properties
As for the crystal system: trigonal. As for the total energy: -58.931 eV per cell. As for the formation energy: -0.1172 eV/atom. For the density of states at the Fermi level, the calculation gives 25.90 states/eV/f.u.

---

First-principles (PBE) data for a relaxed structure of Ba2NpTlSe4, as listed in Alexandria via LeMat-Bulk.

Structure (POSCAR):
```
Ba2NpTlSe4
1.0
7.6937 0.0000 0.0000
0.0000 4.5413 0.0000
-2.6442 0.0000 7.6308
Ba Np Tl Se
2 1 1 4
direct
0.0000 0.0000 0.0000
0.0000 0.5000 0.5000
0.5000 0.0000 0.5000
0.5000 0.5000 0.0000
0.2692 0.0000 0.7264
0.2772 0.5000 0.2771
0.7228 0.5000 0.7229
0.7308 0.0000 0.2736
```

## Properties
As for the crystal system: monoclinic. As for the total energy: -44.133 eV per cell. For the density of states at the Fermi level, the calculation gives 7.50 states/eV/f.u. For the uncorrected formation energy, the calculation gives -1.38 eV/atom.

---

First-principles (PBE) data for a relaxed structure of DyAlF, as listed in Alexandria via LeMat-Bulk.

Structure (POSCAR):
```
DyAlF
1.0
3.3393 0.0000 0.0000
0.0000 3.3393 0.0000
0.0000 0.0000 9.2093
Dy Al F
2 2 2
direct
0.2500 0.2500 0.1927
0.7500 0.7500 0.8073
0.2500 0.2500 0.5814
0.7500 0.7500 0.4186
0.2500 0.2500 0.9343
0.7500 0.7500 0.0657
```

## Properties
As for the crystal system: tetragonal. As for the total energy: -30.629 eV per cell. For the density of states at the Fermi level, the calculation gives 1.54 states/eV/f.u. For the uncorrected formation energy, the calculation gives -1.70 eV/atom.